Entry 1:
First-principles (GGA-PBEsol) data for Li3B5H2O10 after structural relaxation, as listed in Alexandria via LeMat-Bulk.

The structure belongs to space group P4_32_12 (No. 96); the cell edges are 6.813, 6.813 and 14.536 Å and the angles 90.00°, 90.00° and 90.00°. The distinct sites, in fractional coordinates, are Li at (0.137, 0.149, 0.093), Li at (0.194, 0.806, 0.250), B at (0.007, 0.255, 0.393), B at (0.063, 0.937, 0.750), B at (0.240, 0.750, 0.022), H at (0.008, 0.590, 0.487), O at (0.038, 0.732, 0.489), O at (0.049, 0.689, 0.980), O at (0.095, 0.145, 0.770), O at (0.127, 0.823, 0.832) and O at (0.200, 0.278, 0.371).

The crystal system is tetragonal. As for the magnetization: 0.00 μB per formula unit. The volume comes out at 675 Å³ per cell. The value obtained for the uncorrected energy is -0.534 Ry per atom.

---

Entry 2:
First-principles (GGA-PBEsol) data for MgB3H after structural relaxation, as listed in Alexandria via LeMat-Bulk.

The structure belongs to space group Pm-3m (No. 221); the cell edges are 3.379, 3.379 and 3.379 Å and the angles 90.00°, 90.00° and 90.00°. The distinct sites, in fractional coordinates, are Mg at (0.000, 0.000, 0.000), B at (0.000, 0.500, 0.500) and H at (0.500, 0.500, 0.500).

The crystal system is cubic. As for the magnetization: 0.00 μB per formula unit. The volume comes out at 39 Å³ per cell. The value obtained for the uncorrected energy is -0.283 Ry per atom.